The following is a GGA-PBE calculation of crystalline V2Ni9W at its relaxed geometry, from Alexandria.

Unit cell a=3.600 b=3.600 c=10.779 alpha=90.00 beta=90.00 gamma=90.00
Each line ends with the local moment (μB).
Sites, in units of the cell vectors:
V: 0.000 0.000 0.338  1.22
V: 0.000 0.000 0.662  1.22
Ni: 0.500 0.500 0.000  0.16
Ni: 0.500 0.500 0.334  0.06
Ni: 0.500 0.500 0.666  0.06
Ni: 0.500 0.000 0.168  0.14
Ni: 0.500 0.000 0.500  0.02
Ni: 0.500 0.000 0.832  0.14
Ni: 0.000 0.500 0.168  0.14
Ni: 0.000 0.500 0.500  0.02
Ni: 0.000 0.500 0.832  0.14
W: 0.000 0.000 0.000  0.42

crystal system = tetragonal
total magnetization = 0.336 μB per atom
energy of formation = -0.90 eV/f.u.

=====

The following is a GGA-PBE calculation of crystalline VNi2W at its relaxed geometry, from Alexandria.

Unit cell a=3.777 b=3.662 c=3.662 alpha=90.00 beta=90.00 gamma=90.00
Sites, in units of the cell vectors:
Ni: 0.000 0.000 0.500
Ni: 0.000 0.500 0.000
W: 0.500 0.500 0.500
V: 0.500 0.000 0.000

crystal system = tetragonal
total magnetization = 0.000 μB per atom
energy of formation = -0.30 eV/f.u.
E above lowest polymorph = 0.0 kJ/mol of formula units

=====

The following is a GGA-PBE calculation of crystalline V2NiW at its relaxed geometry, from Alexandria.

Unit cell a=6.762 b=6.762 c=5.400 alpha=51.24 beta=51.24 gamma=90.00
Sites, in units of the cell vectors:
Ni: 0.500 0.500 0.000
Ni: 0.250 0.750 0.500
W: 0.000 0.000 0.000
W: 0.750 0.250 0.500
V: 0.606 0.125 0.250
V: 0.144 0.625 0.250
V: 0.375 0.394 0.750
V: 0.875 0.856 0.750

crystal system = tetragonal
total magnetization = 0.000 μB per atom
energy of formation = 2.04 eV/f.u.

=====

The following is a GGA-PBE calculation of crystalline VNi2W at its relaxed geometry, from Alexandria.

Unit cell a=4.190 b=4.190 c=4.190 alpha=60.00 beta=60.00 gamma=60.00
Each line ends with the local moment (μB).
Sites, in units of the cell vectors:
Ni: 0.250 0.250 0.250  0.20
Ni: 0.750 0.750 0.750  0.20
W: 0.500 0.500 0.500  0.06
V: 0.000 0.000 0.000  0.82

crystal system = cubic
total magnetization = 0.348 μB per atom
energy of formation = 0.71 eV/f.u.
E above lowest polymorph = 98.2 kJ/mol of formula units

=====

no.,V (Å³ per atom)
1,11.641
2,12.660
3,14.347
4,13.007